A plane-wave DFT calculation with PBE with a Hubbard U was carried out for a relaxed PuZrCoO6 crystal.

a = 5.523 Å, b = 5.523 Å, c = 8.860 Å
α = 90.00°, β = 90.00°, γ = 120.00°
Sites, in units of the cell vectors:
Pu 0.667 0.333 0.250
Pu 0.333 0.667 0.750
Zr 0.333 0.667 0.250
Zr 0.667 0.333 0.750
Co 0.000 0.000 0.000
Co 0.000 0.000 0.500
O 0.662 0.655 0.131
O 0.993 0.338 0.131
O 0.338 0.993 0.631
O 0.007 0.662 0.869
O 0.345 0.338 0.369
O 0.993 0.655 0.369
O 0.655 0.993 0.869
O 0.662 0.007 0.369
O 0.007 0.345 0.631
O 0.345 0.007 0.131
O 0.655 0.662 0.631
O 0.338 0.345 0.869

Results
As for the crystal system: trigonal. The total DFT energy (no corrections) comes out at -8.707 eV per atom.